No. 1
First-principles (PBE-GGA) data for a relaxed structure of PBr3, as listed in Alexandria via LeMat-Bulk.

abc: 10.9937 10.9937 10.9937
angles: 18.12 18.12 18.12
Fractional positions:
Br1 0.0704 0.0704 0.0704
Br2 0.5000 0.5000 0.5000
Br3 0.9296 0.9296 0.9296
P1 0.0000 0.0000 0.0000

V in Å³ per atom: 28.05
Energy relative to the elements, uncorrected in eV/atom: 0.49
Space group: No. 166
Total energy in eV/atom: -2.120
D(E_F) in states/eV/cell: 4.53

No. 2
First-principles (PBE-GGA) data for a relaxed structure of PBr5, as listed in Alexandria via LeMat-Bulk.

abc: 12.6981 12.6981 4.9033
angles: 90.00 90.00 161.35
Fractional positions:
P1 0.0242 0.9758 0.5000
Br1 0.7315 0.2685 0.5000
Br2 0.4737 0.5263 0.5000
Br3 0.0441 0.9559 0.0000
Br4 0.3568 0.6432 0.0000
Br5 0.7031 0.2969 0.0000

V in Å³ per atom: 42.14
Energy relative to the elements, uncorrected in eV/atom: 0.22
E above lowest polymorph in meV per atom: 528
Space group: No. 38
Total energy in eV/atom: -2.075
D(E_F) in states/eV/cell: 6.86